No. 1
Compound: Tc2I
Source: the Open Quantum Materials Database
Functional: GGA-PBE
Structure: optimized geometry

Results
The calculation puts the calculated total energy at -6.12 eV/atom. Its space group is No. 227.

Lattice parameters (Å, degrees): 5.3815 5.3815 5.3815 60.00 60.00 60.00
Atoms (fractional coordinates):
1 Tc 0.0000 0.0000 0.0000
2 Tc 0.0000 0.0000 0.5000
3 Tc 0.0000 0.5000 0.0000
4 Tc 0.5000 0.0000 0.0000
5 I 0.3750 0.3750 0.3750
6 I 0.6250 0.6250 0.6250

***

No. 2
Compound: AcTbHf
Source: the Open Quantum Materials Database
Functional: GGA-PBE
Structure: optimized geometry

Results
The formation energy is 80 kJ per mole of atoms. The calculation puts the calculated total energy at -5.40 eV/atom. Its space group is No. 216.

Lattice parameters (Å, degrees): 7.6092 7.6092 7.6092 90.00 90.00 90.00
Atoms (fractional coordinates):
1 Ac 0.0000 0.0000 0.0000
2 Ac 0.0000 0.5000 0.5000
3 Ac 0.5000 0.0000 0.5000
4 Ac 0.5000 0.5000 0.0000
5 Tb 0.0000 0.0000 0.5000
6 Tb 0.0000 0.5000 0.0000
7 Tb 0.5000 0.0000 0.0000
8 Tb 0.5000 0.5000 0.5000
9 Hf 0.2500 0.2500 0.2500
10 Hf 0.2500 0.7500 0.7500
11 Hf 0.7500 0.2500 0.7500
12 Hf 0.7500 0.7500 0.2500

***

No. 3
Compound: LiNpAuS3
Source: the Open Quantum Materials Database
Functional: GGA-PBE
Structure: optimized geometry

Results
The calculation puts the calculated total energy at -5.99 eV/atom. Its space group is No. 63.

Lattice parameters (Å, degrees): 6.5472 6.5472 10.2757 90.00 90.00 144.28
Atoms (fractional coordinates):
1 Li 0.2316 0.7684 0.7500
2 Li 0.7684 0.2316 0.2500
3 Np 0.5000 0.5000 0.0000
4 Np 0.5000 0.5000 0.5000
5 Au 0.0918 0.9082 0.2500
6 Au 0.9082 0.0918 0.7500
7 S 0.1411 0.8589 0.0294
8 S 0.1411 0.8589 0.4706
9 S 0.4262 0.5738 0.2500
10 S 0.5738 0.4262 0.7500
11 S 0.8589 0.1411 0.5294
12 S 0.8589 0.1411 0.9706